# 1
The following is a DFT calculation (GGA-PBE) of a relaxed CaScNi crystal.

POSCAR file:
```
CaScNi
1.0
3.792 0.000 0.000
-1.896 3.284 0.000
0.000 0.000 6.196
Ca Sc Ni
1 1 1
direct
0.000 0.000 0.000
0.333 0.667 0.489
0.667 0.333 0.292
```

Values from the calculation:
* SG: P3m1, No. 156

# 2
The following is a DFT calculation (GGA-PBE) of a relaxed CaScNi crystal.

POSCAR file:
```
CaScNi
1.0
1.843 -5.810 0.000
1.843 5.810 0.000
0.000 0.000 6.528
Ca Sc Ni
2 2 2
direct
0.218 0.782 0.750
0.782 0.218 0.250
0.500 0.500 0.000
0.500 0.500 0.500
0.080 0.920 0.250
0.920 0.080 0.750
```

Values from the calculation:
* SG: Cmcm, No. 63

Record-wise energy of formation values, in eV/atom: -0.0256, -0.1822